# 1
Below is a relaxed BaFe3Cl crystal, with properties calculated at the GGA-PBE level.

a b c (Å): 5.650 5.650 5.650
angles (deg): 90.00 90.00 90.00
Space group Pm-3m (No. 221)
Symmetry-distinct sites (fractional):
Ba: 0.000 0.000 0.000 x1
Fe: 0.000 0.000 0.500 x3
Cl: 0.500 0.500 0.500 x1

## Properties
Energy relative to the lowest polymorph listed for this composition = 606 kJ/mol of formula units
Uncorrected formation energy = 2.153 eV per atom
Energy = -18.39 eV/cell
Calculated volume = 180.4 Å³/cell

# 2
Below is a relaxed Ba3FeCl crystal, with properties calculated at the GGA-PBE level.

a b c (Å): 6.032 6.032 6.032
angles (deg): 90.00 90.00 90.00
Space group Pm-3m (No. 221)
Symmetry-distinct sites (fractional):
Ba: 0.000 0.000 0.500 x3
Fe: 0.500 0.500 0.500 x1
Cl: 0.000 0.000 0.000 x1

## Properties
Energy relative to the lowest polymorph listed for this composition = 0 kJ/mol of formula units
Uncorrected formation energy = -0.061 eV per atom
Energy = -16.38 eV/cell
Calculated volume = 219.5 Å³/cell

# 3
Below is a relaxed BaFe2Cl6 crystal, with properties calculated at the GGA-PBE level.

a b c (Å): 14.062 11.653 7.163
angles (deg): 90.00 111.19 90.00
Space group C2/c (No. 15)
Symmetry-distinct sites (fractional):
Ba: 0.000 0.165 0.250 x4
Fe: 0.198 0.432 0.205 x8
Cl: 0.125 0.276 0.026 x8
Cl: 0.127 0.052 0.660 x8
Cl: 0.144 0.415 0.479 x8

## Properties
Uncorrected formation energy = -1.262 eV per atom
Energy = -165.16 eV/cell
Calculated volume = 1094.5 Å³/cell

# 4
Below is a relaxed BaFeCl2 crystal, with properties calculated at the GGA-PBE level.

a b c (Å): 5.3906 5.3906 17.1388
angles (deg): 90.00 90.00 120.00
Space group R-3m (No. 166, hexagonal axes)
Symmetry-distinct sites (fractional):
Ba: 0.0000 0.0000 0.0000 x3
Fe: 0.0000 0.0000 0.5000 x3
Cl: 0.0000 0.0000 0.3738 x6

## Properties
Energy relative to the lowest polymorph listed for this composition = 30 kJ/mol of formula units
Uncorrected formation energy = -0.848 eV per atom
Energy = -52.42 eV/cell
Calculated volume = 431.3 Å³/cell

# 5
Below is a relaxed BaFeCl3 crystal, with properties calculated at the GGA-PBE level.

a b c (Å): 4.924 4.924 4.924
angles (deg): 90.00 90.00 90.00
Space group Pm-3m (No. 221)
Symmetry-distinct sites (fractional):
Ba: 0.000 0.000 0.000 x1
Fe: 0.500 0.500 0.500 x1
Cl: 0.000 0.500 0.500 x3

## Properties
Energy relative to the lowest polymorph listed for this composition = 0 kJ/mol of formula units
Uncorrected formation energy = -1.316 eV per atom
Energy = -22.51 eV/cell
Calculated volume = 119.4 Å³/cell

# 6
Below is a relaxed BaFeCl2 crystal, with properties calculated at the GGA-PBE level.

a b c (Å): 7.496 7.496 7.496
angles (deg): 90.00 90.00 90.00
Space group Fm-3m (No. 225)
Symmetry-distinct sites (fractional):
Ba: 0.000 0.000 0.000 x4
Fe: 0.000 0.000 0.500 x4
Cl: 0.250 0.250 0.250 x8

## Properties
Energy relative to the lowest polymorph listed for this composition = 55 kJ/mol of formula units
Uncorrected formation energy = -0.784 eV per atom
Energy = -68.85 eV/cell
Calculated volume = 421.1 Å³/cell

# 7
Below is a relaxed BaFeCl2 crystal, with properties calculated at the GGA-PBE level.

a b c (Å): 4.469 4.375 5.644
angles (deg): 90.00 105.78 90.00
Space group Pm (No. 6)
Symmetry-distinct sites (fractional):
Ba: 0.000 0.000 0.000 x1
Fe: 0.586 0.500 0.435 x1
Cl: 0.447 0.500 0.838 x1
Cl: 0.641 0.000 0.411 x1

## Properties
Energy relative to the lowest polymorph listed for this composition = 18 kJ/mol of formula units
Uncorrected formation energy = -0.879 eV per atom
Energy = -17.59 eV/cell
Calculated volume = 106.2 Å³/cell

# 8
Below is a relaxed BaFeCl3 crystal, with properties calculated at the GGA-PBE level.

a b c (Å): 5.981 5.981 5.981
angles (deg): 90.00 90.00 90.00
Space group Pm-3m (No. 221)
Symmetry-distinct sites (fractional):
Ba: 0.000 0.000 0.000 x1
Fe: 0.500 0.500 0.500 x1
Cl: 0.000 0.000 0.500 x3

## Properties
Energy relative to the lowest polymorph listed for this composition = 313 kJ/mol of formula units
Uncorrected formation energy = -0.668 eV per atom
Energy = -19.27 eV/cell
Calculated volume = 214.0 Å³/cell

# 9
Below is a relaxed BaFeCl2 crystal, with properties calculated at the GGA-PBE level.

a b c (Å): 4.105 4.105 6.342
angles (deg): 90.00 90.00 90.00
Space group P4mm (No. 99)
Symmetry-distinct sites (fractional):
Ba: 0.000 0.000 0.000 x1
Fe: 0.500 0.500 0.612 x1
Cl: 0.000 0.000 0.521 x1
Cl: 0.500 0.500 0.217 x1

## Properties
Energy relative to the lowest polymorph listed for this composition = 78 kJ/mol of formula units
Uncorrected formation energy = -0.723 eV per atom
Energy = -16.97 eV/cell
Calculated volume = 106.9 Å³/cell

# 10
Below is a relaxed BaFeCl2 crystal, with properties calculated at the GGA-PBE level.

a b c (Å): 3.9545 3.9545 26.0728
angles (deg): 90.00 90.00 120.00
Space group R-3m (No. 166, hexagonal axes)
Symmetry-distinct sites (fractional):
Ba: 0.0000 0.0000 0.0000 x3
Fe: 0.0000 0.0000 0.5000 x3
Cl: 0.0000 0.0000 0.1187 x6

## Properties
Energy relative to the lowest polymorph listed for this composition = 140 kJ/mol of formula units
Uncorrected formation energy = -0.563 eV per atom
Energy = -48.99 eV/cell
Calculated volume = 353.1 Å³/cell

# 11
Below is a relaxed Ba4FeCl crystal, with properties calculated at the GGA-PBE level.

a b c (Å): 10.449 10.449 10.449
angles (deg): 90.00 90.00 90.00
Space group F-43m (No. 216)
Symmetry-distinct sites (fractional):
Ba: 0.124 0.124 0.376 x16
Fe: 0.250 0.250 0.750 x4
Cl: 0.000 0.000 0.000 x4

## Properties
Uncorrected formation energy = 0.557 eV per atom
Energy = -58.63 eV/cell
Calculated volume = 1140.8 Å³/cell

# 12
Below is a relaxed BaFeCl2 crystal, with properties calculated at the GGA-PBE level.

a b c (Å): 5.017 5.017 4.147
angles (deg): 90.00 90.00 90.00
Space group P4/mmm (No. 123)
Symmetry-distinct sites (fractional):
Ba: 0.000 0.000 0.000 x1
Fe: 0.500 0.500 0.000 x1
Cl: 0.000 0.500 0.500 x2

## Properties
Energy relative to the lowest polymorph listed for this composition = 69 kJ/mol of formula units
Uncorrected formation energy = -0.748 eV per atom
Energy = -17.07 eV/cell
Calculated volume = 104.4 Å³/cell

# 13
Below is a relaxed Ba2FeCl6 crystal, with properties calculated at the GGA-PBE level.

a b c (Å): 6.792 8.022 11.592
angles (deg): 90.00 124.25 90.00
Space group P2_1/c (No. 14)
Symmetry-distinct sites (fractional):
Ba: 0.217 0.106 0.257 x4
Fe: 0.500 0.000 0.000 x2
Cl: 0.144 0.158 0.954 x4
Cl: 0.294 0.712 0.948 x4
Cl: 0.352 0.021 0.756 x4

## Properties
Uncorrected formation energy = -1.917 eV per atom
Energy = -81.28 eV/cell
Calculated volume = 522.1 Å³/cell

# 14
Below is a relaxed BaFe4Cl crystal, with properties calculated at the GGA-PBE level.

a b c (Å): 7.671 7.671 7.671
angles (deg): 90.00 90.00 90.00
Space group F-43m (No. 216)
Symmetry-distinct sites (fractional):
Ba: 0.000 0.000 0.000 x4
Fe: 0.136 0.136 0.364 x16
Cl: 0.250 0.250 0.750 x4

## Properties
Uncorrected formation energy = 0.528 eV per atom
Energy = -137.80 eV/cell
Calculated volume = 451.5 Å³/cell

# 15
Below is a relaxed BaFeCl2 crystal, with properties calculated at the GGA-PBE level.

a b c (Å): 4.325 4.425 11.681
angles (deg): 90.00 90.00 90.00
Space group Imm2 (No. 44)
Symmetry-distinct sites (fractional):
Ba: 0.000 0.000 0.000 x2
Fe: 0.000 0.000 0.341 x2
Cl: 0.000 0.000 0.557 x2
Cl: 0.000 0.500 0.802 x2

## Properties
Energy relative to the lowest polymorph listed for this composition = 23 kJ/mol of formula units
Uncorrected formation energy = -0.865 eV per atom
Energy = -35.08 eV/cell
Calculated volume = 223.6 Å³/cell

# 16
Below is a relaxed BaFeCl2 crystal, with properties calculated at the GGA-PBE level.

a b c (Å): 5.716 5.716 13.755
angles (deg): 90.00 90.00 90.00
Space group I-42d (No. 122)
Symmetry-distinct sites (fractional):
Ba: 0.000 0.000 0.000 x4
Fe: 0.000 0.000 0.500 x4
Cl: 0.133 0.250 0.625 x8

## Properties
Energy relative to the lowest polymorph listed for this composition = 67 kJ/mol of formula units
Uncorrected formation energy = -0.751 eV per atom
Energy = -68.34 eV/cell
Calculated volume = 449.4 Å³/cell

# 17
Below is a relaxed BaFeCl2 crystal, with properties calculated at the GGA-PBE level.

a b c (Å): 9.909 4.692 5.191
angles (deg): 90.00 93.08 90.00
Space group C2/m (No. 12)
Symmetry-distinct sites (fractional):
Ba: 0.000 0.000 0.000 x2
Fe: 0.000 0.500 0.500 x2
Cl: 0.179 0.500 0.759 x4

## Properties
Energy relative to the lowest polymorph listed for this composition = 0 kJ/mol of formula units
Uncorrected formation energy = -0.926 eV per atom
Energy = -35.57 eV/cell
Calculated volume = 241.0 Å³/cell

# 18
Below is a relaxed BaFe2Cl8 crystal, with properties calculated at the GGA-PBE level.

a b c (Å): 19.924 7.311 13.120
angles (deg): 90.00 126.15 90.00
Space group C2/c (No. 15)
Symmetry-distinct sites (fractional):
Ba: 0.000 0.147 0.250 x4
Fe: 0.095 0.273 0.669 x8
Cl: 0.038 0.197 0.933 x8
Cl: 0.119 0.457 0.260 x8
Cl: 0.128 0.283 0.535 x8
Cl: 0.164 0.054 0.811 x8

## Properties
Uncorrected formation energy = -1.269 eV per atom
Energy = -190.34 eV/cell
Calculated volume = 1543.3 Å³/cell

# 19
Below is a relaxed BaFeCl2 crystal, with properties calculated at the GGA-PBE level.

a b c (Å): 7.617 7.617 7.617
angles (deg): 90.00 90.00 90.00
Space group F-43m (No. 216)
Symmetry-distinct sites (fractional):
Ba: 0.000 0.000 0.000 x4
Fe: 0.250 0.250 0.250 x4
Cl: 0.000 0.000 0.500 x4
Cl: 0.250 0.250 0.750 x4

## Properties
Energy relative to the lowest polymorph listed for this composition = 205 kJ/mol of formula units
Uncorrected formation energy = -0.395 eV per atom
Energy = -62.63 eV/cell
Calculated volume = 442.0 Å³/cell

# 20
Below is a relaxed BaFeCl2 crystal, with properties calculated at the GGA-PBE level.

a b c (Å): 4.213 4.214 14.083
angles (deg): 90.00 90.00 90.00
Space group Imm2 (No. 44)
Symmetry-distinct sites (fractional):
Ba: 0.000 0.000 0.000 x2
Fe: 0.000 0.500 0.684 x2
Cl: 0.000 0.000 0.424 x2
Cl: 0.000 0.500 0.171 x2

## Properties
Energy relative to the lowest polymorph listed for this composition = 90 kJ/mol of formula units
Uncorrected formation energy = -0.693 eV per atom
Energy = -33.71 eV/cell
Calculated volume = 250.0 Å³/cell